# 1
A relaxed CuSb2Ir crystal. Source: Alexandria, functional PBE.

Computed properties:
energy relative to the elements, uncorrected	0.03	eV/atom
E_tot	-5.274	eV/atom
polymorph energy (0 for the lowest one)	0	meV/atom
crystal system	monoclinic

Cell lengths 3.7604, 3.9910, 5.3705 Å; angles 90.00, 110.12, 90.00 degrees
Closest atoms and distances in Å follow each position.
Space group Pm (No. 6)
Asymmetric unit:
Cu  0.0000  0.0000  0.0000 [1 per cell]  5 Sb 2.63-2.79, 2 Ir 2.65
Sb  0.4624  0.5000  0.9119 [1 per cell]  4 Cu 2.76-2.79, 3 Ir 2.86-2.90
Sb  0.7467  0.0000  0.4787 [1 per cell]  1 Cu 2.63, 4 Ir 2.82
Ir  0.1823  0.5000  0.3457 [1 per cell]  2 Cu 2.65, 7 Sb 2.82-2.90



# 2
A relaxed LiMg14Ag crystal. Source: Alexandria, functional PBE.

Computed properties:
ΔH_f (0 K)	-24	meV/atom
E_tot	-1.717	eV/atom
crystal system	tetragonal

Cell lengths 6.3817, 6.3817, 8.6577 Å; angles 90.00, 90.00, 90.00 degrees
Closest atoms and distances in Å follow each position.
Space group P4/mmm (No. 123)
Asymmetric unit:
Li  0.0000  0.0000  0.0000 [1 per cell]  12 Mg 3.09-3.19
Mg  0.0000  0.0000  0.5000 [1 per cell]  12 Mg 3.18-3.19
Mg  0.0000  0.5000  0.0000 [2 per cell]  8 Mg 3.08, 2 Li 3.19, 2 Ag 3.19
Mg  0.0000  0.5000  0.5000 [2 per cell]  12 Mg 3.17-3.19
Mg  0.2510  0.2510  0.2422 [8 per cell]  1 Ag 3.07, 10 Mg 3.08-3.20, 1 Li 3.09
Mg  0.5000  0.5000  0.5000 [1 per cell]  12 Mg 3.17-3.19
Ag  0.5000  0.5000  0.0000 [1 per cell]  12 Mg 3.07-3.19



# 3
A relaxed K2InGa crystal. Source: Alexandria, functional PBE.

Computed properties:
ΔH_f (0 K)	172	meV/atom
E_tot	-1.818	eV/atom
polymorph energy (0 for the lowest one)	270	meV/atom
crystal system	cubic

Cell lengths 8.3316, 8.3316, 8.3316 Å; angles 90.00, 90.00, 90.00 degrees
Closest atoms and distances in Å follow each position.
Space group Fm-3m (No. 225)
Asymmetric unit:
K  0.2500  0.2500  0.2500 [8 per cell]  4 Ga 3.61, 4 In 3.61
In  0.0000  0.0000  0.0000 [4 per cell]  8 K 3.61
Ga  0.0000  0.0000  0.5000 [4 per cell]  8 K 3.61



# 4
A relaxed CaRh2 crystal. Source: Alexandria, functional PBE.

Computed properties:
ΔH_f (0 K)	-43	meV/atom
E_tot	-5.611	eV/atom
crystal system	monoclinic

Cell lengths 10.3922, 2.9296, 7.0029 Å; angles 90.00, 103.98, 90.00 degrees
Closest atoms and distances in Å follow each position.
Space group Cm (No. 8)
Asymmetric unit:
Ca  0.0000  0.0000  0.0000 [2 per cell]  7 Rh 2.74-2.91, 2 Ca 2.93
Ca  0.1859  0.5000  0.3831 [2 per cell]  8 Rh 2.70-2.97, 2 Ca 2.93
Rh  0.1343  0.5000  0.7491 [2 per cell]  3 Ca 2.74-2.89, 9 Rh 2.77-2.97
Rh  0.2879  0.0000  0.0814 [2 per cell]  5 Ca 2.82-2.97, 7 Rh 2.88-2.98
Rh  0.3494  0.0000  0.6959 [2 per cell]  4 Ca 2.74-2.83, 8 Rh 2.77-2.93
Rh  0.4509  0.5000  0.4264 [2 per cell]  3 Ca 2.70-2.93, 8 Rh 2.79-2.98



# 5
A relaxed KEuHgPb crystal. Source: Alexandria, functional PBE.

Computed properties:
ΔH_f (0 K)	-287	meV/atom
E_tot	-4.132	eV/atom
crystal system	cubic

Cell lengths 8.0812, 8.0812, 8.0812 Å; angles 90.00, 90.00, 90.00 degrees
Closest atoms and distances in Å follow each position.
Space group F-43m (No. 216)
Asymmetric unit:
K  0.0000  0.0000  0.0000 [4 per cell]  4 Hg 3.50, 4 Pb 3.50
Eu  0.0000  0.0000  0.5000 [4 per cell]  4 Hg 3.50, 4 Pb 3.50
Hg  0.2500  0.2500  0.7500 [4 per cell]  4 K 3.50, 4 Eu 3.50
Pb  0.2500  0.2500  0.2500 [4 per cell]  4 K 3.50, 4 Eu 3.50



# 6
A relaxed Er2TmV crystal. Source: Alexandria, functional PBE.

Computed properties:
ΔH_f (0 K)	593	meV/atom
E_tot	-5.086	eV/atom
crystal system	trigonal

Cell lengths 3.3353, 3.3353, 33.8919 Å; angles 90.00, 90.00, 120.00 degrees
Closest atoms and distances in Å follow each position.
Space group R-3m (No. 166, hexagonal axes)
Asymmetric unit:
Er  0.0000  0.0000  0.0826 [6 per cell]  1 V 2.80
Tm  0.0000  0.0000  0.5000 [3 per cell]  6 Tm 3.34, 6 Er 3.44
V  0.0000  0.0000  0.0000 [3 per cell]  2 Er 2.80



# 7
A relaxed NaSmAlIn crystal. Source: Alexandria, functional PBE.

Computed properties:
ΔH_f (0 K)	-163	meV/atom
E_tot	-3.293	eV/atom
crystal system	cubic

Cell lengths 7.4115, 7.4115, 7.4115 Å; angles 90.00, 90.00, 90.00 degrees
Closest atoms and distances in Å follow each position.
Space group F-43m (No. 216)
Asymmetric unit:
Na  0.0000  0.0000  0.0000 [4 per cell]  4 In 3.21, 4 Al 3.21
Sm  0.0000  0.0000  0.5000 [4 per cell]  4 In 3.21, 4 Al 3.21
Al  0.2500  0.2500  0.2500 [4 per cell]  4 Na 3.21, 4 Sm 3.21
In  0.2500  0.2500  0.7500 [4 per cell]  4 Na 3.21, 4 Sm 3.21



# 8
A relaxed Tb6Tm2In crystal. Source: Alexandria, functional PBE.

Computed properties:
ΔH_f (0 K)	-10	meV/atom
E_tot	-4.394	eV/atom
polymorph energy (0 for the lowest one)	14	meV/atom
crystal system	orthorhombic

Cell lengths 3.4723, 10.1469, 15.8326 Å; angles 90.00, 90.00, 90.00 degrees
Closest atoms and distances in Å follow each position.
Space group Immm (No. 71)
Asymmetric unit:
Tb  0.0000  0.1633  0.1764 [8 per cell]  1 In 3.25, 7 Tb 3.31-3.60, 3 Tm 3.43-3.58
Tb  0.0000  0.1923  0.5000 [4 per cell]  6 Tb 3.47-3.60, 2 In 3.57, 4 Tm 3.59
Tm  0.0000  0.5000  0.1555 [4 per cell]  10 Tb 3.43-3.59, 2 Tm 3.47
In  0.0000  0.0000  0.0000 [2 per cell]  8 Tb 3.25-3.57, 2 In 3.47



# 9
A relaxed AlTc2PtPb crystal. Source: Alexandria, functional PBE.

Computed properties:
ΔH_f (0 K)	1529	meV/atom
E_tot	-5.315	eV/atom
crystal system	tetragonal

Cell lengths 5.0231, 5.0231, 5.0748 Å; angles 90.00, 90.00, 90.00 degrees
Closest atoms and distances in Å follow each position.
Space group P4/mmm (No. 123)
Asymmetric unit:
Al  0.0000  0.0000  0.0000 [1 per cell]  4 Pb 3.55, 8 Tc 3.57
Tc  0.0000  0.5000  0.5000 [2 per cell]  2 Pt 2.51
Pt  0.5000  0.5000  0.5000 [1 per cell]  4 Tc 2.51, 2 Pb 2.54
Pb  0.5000  0.5000  0.0000 [1 per cell]  2 Pt 2.54



# 10
A relaxed Rb3AgAs crystal. Source: Alexandria, functional PBE.

Computed properties:
ΔH_f (0 K)	47	meV/atom
E_tot	-2.034	eV/atom
polymorph energy (0 for the lowest one)	0	meV/atom
crystal system	cubic

Cell lengths 6.6474, 6.6474, 6.6474 Å; angles 90.00, 90.00, 90.00 degrees
Closest atoms and distances in Å follow each position.
Space group Pm-3m (No. 221)
Asymmetric unit:
Rb  0.0000  0.0000  0.5000 [3 per cell]  2 As 3.32
Ag  0.5000  0.5000  0.5000 [1 per cell]  12 Rb 4.70
As  0.0000  0.0000  0.0000 [1 per cell]  6 Rb 3.32



# 11
A relaxed CoRh2 crystal. Source: Alexandria, functional PBE.

Computed properties:
ΔH_f (0 K)	152	meV/atom
E_tot	-7.117	eV/atom
crystal system	tetragonal

Cell lengths 5.9833, 5.9833, 4.6195 Å; angles 90.00, 90.00, 90.00 degrees
Closest atoms and distances in Å follow each position.
Space group I4/mcm (No. 140)
Asymmetric unit:
Co  0.0000  0.0000  0.2500 [4 per cell]  2 Co 2.31, 8 Rh 2.55
Rh  0.1520  0.3480  0.0000 [8 per cell]  4 Co 2.55, 3 Rh 2.57-2.84



# 12
A relaxed Zr2AgCl crystal. Source: Alexandria, functional PBE.

Computed properties:
energy relative to the elements, uncorrected	-0.29	eV/atom
E_tot	-5.742	eV/atom
polymorph energy (0 for the lowest one)	206	meV/atom
crystal system	monoclinic

Cell lengths 3.1385, 3.7406, 7.0115 Å; angles 90.00, 90.16, 90.00 degrees
Closest atoms and distances in Å follow each position.
Space group P2/m (No. 10)
Asymmetric unit:
Zr  0.0016  0.0000  0.2497 [2 per cell]  2 Cl 2.56
Ag  0.5000  0.5000  0.0000 [1 per cell]  8 Zr 3.00, 2 Ag 3.14
Cl  0.0000  0.5000  0.5000 [1 per cell]  4 Zr 2.56



# 13
A relaxed CsZnSn3 crystal. Source: Alexandria, functional PBE.

Computed properties:
ΔH_f (0 K)	191	meV/atom
E_tot	-2.636	eV/atom
polymorph energy (0 for the lowest one)	325	meV/atom
crystal system	cubic

Cell lengths 5.5068, 5.5068, 5.5068 Å; angles 90.00, 90.00, 90.00 degrees
Closest atoms and distances in Å follow each position.
Space group Pm-3m (No. 221)
Asymmetric unit:
Cs  0.0000  0.0000  0.0000 [1 per cell]  12 Sn 3.89
Zn  0.5000  0.5000  0.5000 [1 per cell]  6 Sn 2.75
Sn  0.0000  0.5000  0.5000 [3 per cell]  2 Zn 2.75



| no. | density of states at the Fermi level (states/eV per cell) |
| --- | --- |
| 1 | 2.521 |
| 2 | 6.452 |
| 3 | 13.651 |
| 4 | 10.052 |
| 5 | 56.219 |
| 6 | 19.638 |
| 7 | 6.529 |
| 8 | 23.450 |
| 9 | 4.860 |
| 10 | 3.599 |
| 11 | 10.426 |
| 12 | 3.934 |
| 13 | 3.226 |